No. 1
VASP calculation (PBE) on a relaxed structure of EuZn2Ge.

- calculated total energy (eV per atom) = -4.54
- symmetry = Fm-3m, No. 225
- energy of formation (eV/f.u.) = -0.71

Cell: 4.8732 4.8732 4.8732 Å, 60.00 60.00 60.00°
Last column: nearest neighbours and their distance in Å.
Positions (direct):
Eu (0.0000, 0.0000, 0.0000)  8 Zn 2.98
Zn (0.2500, 0.2500, 0.2500)  4 Ge 2.98, 4 Eu 2.98
Zn (0.7500, 0.7500, 0.7500)  4 Ge 2.98, 4 Eu 2.98
Ge (0.5000, 0.5000, 0.5000)  8 Zn 2.98



No. 2
VASP calculation (PBE) on a relaxed structure of Eu2ZnGe3.

- energy above the lowest structure with this stoichiometry (meV/atom) = 0.0
- calculated total energy (eV per atom) = -6.52
- symmetry = P6_3/mmc, No. 194
- energy of formation (eV/f.u.) = -3.42

Cell: 4.2886 4.2886 17.6506 Å, 90.00 90.00 120.00°
Last column: nearest neighbours and their distance in Å.
Positions (direct):
Eu (0.0000, 0.0000, 0.1289)  6 Ge 3.08-3.27, 3 Zn 3.27
Eu (0.0000, 0.0000, 0.3711)  6 Ge 3.08-3.27, 3 Zn 3.27
Eu (0.0000, 0.0000, 0.6289)  6 Ge 3.08-3.27, 3 Zn 3.27
Eu (0.0000, 0.0000, 0.8711)  6 Ge 3.08-3.27, 3 Zn 3.27
Zn (0.3333, 0.6667, 0.2500)  3 Ge 2.48
Zn (0.6667, 0.3333, 0.7500)  3 Ge 2.48
Ge (0.3333, 0.6667, 0.0247)  3 Ge 2.63
Ge (0.3333, 0.6667, 0.4753)  3 Ge 2.63
Ge (0.3333, 0.6667, 0.7500)  3 Zn 2.48
Ge (0.6667, 0.3333, 0.2500)  3 Zn 2.48
Ge (0.6667, 0.3333, 0.5247)  3 Ge 2.63
Ge (0.6667, 0.3333, 0.9753)  3 Ge 2.63



No. 3
VASP calculation (PBE) on a relaxed structure of EuZnGe2.

- calculated total energy (eV per atom) = -5.51
- symmetry = P4/mmm, No. 123
- energy of formation (eV/f.u.) = -1.24

Cell: 4.3910 4.3910 4.2512 Å, 90.00 90.00 90.00°
Last column: nearest neighbours and their distance in Å.
Positions (direct):
Eu (0.0000, 0.0000, 0.0000)  8 Ge 3.06, 4 Zn 3.10
Zn (0.5000, 0.5000, 0.0000)  8 Ge 3.06, 4 Eu 3.10
Ge (0.0000, 0.5000, 0.5000)  4 Zn 3.06, 4 Eu 3.06, 4 Ge 3.10
Ge (0.5000, 0.0000, 0.5000)  4 Zn 3.06, 4 Eu 3.06, 4 Ge 3.10



No. 4
VASP calculation (PBE) on a relaxed structure of EuZnGe2.

- calculated total energy (eV per atom) = -5.49
- symmetry = R-3m, No. 166
- energy of formation (eV/f.u.) = -1.18

Cell: 5.8999 5.8999 5.8999 Å, 43.13 43.13 43.13°
Last column: nearest neighbours and their distance in Å.
Positions (direct):
Eu (0.0000, 0.0000, 0.0000)  6 Ge 3.11
Zn (0.5000, 0.5000, 0.5000)  6 Ge 2.64
Ge (0.2180, 0.2180, 0.2180)  3 Zn 2.64
Ge (0.7820, 0.7820, 0.7820)  3 Zn 2.64



No. 5
VASP calculation (PBE) on a relaxed structure of Eu2ZnGe3.

- energy above the lowest structure with this stoichiometry (meV/atom) = 15.0
- calculated total energy (eV per atom) = -6.50
- symmetry = C2/m, No. 12
- energy of formation (eV/f.u.) = -3.33

Cell: 6.1772 6.1772 8.6096 Å, 112.17 112.17 86.99°
Last column: nearest neighbours and their distance in Å.
Positions (direct):
Eu (0.2494, 0.7506, 0.0000)  8 Ge 3.16-3.47, 4 Zn 3.19-3.47
Eu (0.2585, 0.2585, 0.4992)  10 Ge 3.15-3.52, 2 Zn 3.23-3.51
Eu (0.7415, 0.7415, 0.5008)  10 Ge 3.15-3.52, 2 Zn 3.23-3.51
Eu (0.7506, 0.2494, 0.0000)  8 Ge 3.16-3.47, 4 Zn 3.19-3.47
Zn (0.1894, 0.1894, 0.8323)  3 Ge 2.45-2.47
Zn (0.8106, 0.8106, 0.1677)  3 Ge 2.45-2.47
Ge (0.1868, 0.6965, 0.3316)  1 Zn 2.45, 2 Ge 2.52-2.53
Ge (0.3035, 0.8132, 0.6684)  1 Zn 2.45, 2 Ge 2.52-2.53
Ge (0.3094, 0.3094, 0.1633)  1 Zn 2.47, 2 Ge 2.53
Ge (0.6906, 0.6906, 0.8367)  1 Zn 2.47, 2 Ge 2.53
Ge (0.6965, 0.1868, 0.3316)  1 Zn 2.45, 2 Ge 2.52-2.53
Ge (0.8132, 0.3035, 0.6684)  1 Zn 2.45, 2 Ge 2.52-2.53



No. 6
VASP calculation (PBE) on a relaxed structure of Eu2ZnGe3.

- energy above the lowest structure with this stoichiometry (meV/atom) = 14.3
- calculated total energy (eV per atom) = -6.50
- symmetry = Cmce, No. 64
- energy of formation (eV/f.u.) = -3.34

Cell: 8.5064 8.5064 8.9419 Å, 90.00 90.00 119.96°
Last column: nearest neighbours and their distance in Å.
Positions (direct):
Eu (0.0015, 0.9985, 0.7589)  10 Ge 3.16-3.48, 2 Zn 3.22-3.54
Eu (0.0019, 0.4981, 0.2500)  4 Zn 3.17-3.49, 8 Ge 3.17-3.46
Eu (0.4981, 0.0019, 0.7500)  4 Zn 3.17-3.49, 8 Ge 3.17-3.46
Eu (0.4985, 0.5015, 0.2589)  10 Ge 3.16-3.48, 2 Zn 3.22-3.54
Eu (0.5015, 0.4985, 0.7411)  10 Ge 3.16-3.48, 2 Zn 3.22-3.54
Eu (0.5019, 0.9981, 0.2500)  4 Zn 3.17-3.49, 8 Ge 3.17-3.46
Eu (0.9981, 0.5019, 0.7500)  4 Zn 3.17-3.49, 8 Ge 3.17-3.46
Eu (0.9985, 0.0015, 0.2411)  10 Ge 3.16-3.48, 2 Zn 3.22-3.54
Zn (0.1666, 0.8334, 0.4717)  3 Ge 2.45-2.47
Zn (0.3334, 0.6666, 0.9717)  3 Ge 2.45-2.47
Zn (0.6666, 0.3334, 0.0283)  3 Ge 2.45-2.47
Zn (0.8334, 0.1666, 0.5283)  3 Ge 2.45-2.47
Ge (0.1604, 0.3294, 0.4806)  1 Zn 2.45, 2 Ge 2.51-2.53
Ge (0.1687, 0.8313, 0.0261)  1 Zn 2.47, 2 Ge 2.53
Ge (0.1706, 0.3396, 0.0194)  1 Zn 2.45, 2 Ge 2.51-2.53
Ge (0.3294, 0.1604, 0.5194)  1 Zn 2.45, 2 Ge 2.51-2.53
Ge (0.3313, 0.6687, 0.5261)  1 Zn 2.47, 2 Ge 2.53
Ge (0.3396, 0.1706, 0.9806)  1 Zn 2.45, 2 Ge 2.51-2.53
Ge (0.6604, 0.8294, 0.0194)  1 Zn 2.45, 2 Ge 2.51-2.53
Ge (0.6687, 0.3313, 0.4739)  1 Zn 2.47, 2 Ge 2.53
Ge (0.6706, 0.8396, 0.4806)  1 Zn 2.45, 2 Ge 2.51-2.53
Ge (0.8294, 0.6604, 0.9806)  1 Zn 2.45, 2 Ge 2.51-2.53
Ge (0.8313, 0.1687, 0.9739)  1 Zn 2.47, 2 Ge 2.53
Ge (0.8396, 0.6706, 0.5194)  1 Zn 2.45, 2 Ge 2.51-2.53



No. 7
VASP calculation (PBE) on a relaxed structure of EuH5.

- calculated total energy (eV per atom) = -4.40
- symmetry = Cmmm, No. 65

Cell: 3.8924 3.8924 4.5058 Å, 90.00 90.00 119.54°
Last column: nearest neighbours and their distance in Å.
Positions (direct):
Eu (0.0000, 0.0000, 0.0000)  6 H 2.25
H (0.3349, 0.6651, 0.0000)  5 H 2.22-2.27, 3 Eu 2.25
H (0.3488, 0.6512, 0.5000)  1 H 1.02
H (0.5000, 0.5000, 0.5000)  2 H 1.02
H (0.6512, 0.3488, 0.5000)  1 H 1.02
H (0.6651, 0.3349, 0.0000)  5 H 2.22-2.27, 3 Eu 2.25



No. 8
VASP calculation (PBE) on a relaxed structure of EuH.

- calculated total energy (eV per atom) = -7.19
- symmetry = Fm-3m, No. 225

Cell: 3.6873 3.6873 3.6873 Å, 60.00 60.00 60.00°
Last column: nearest neighbours and their distance in Å.
Positions (direct):
Eu (0.0000, 0.0000, 0.0000)  6 H 2.61
H (0.5000, 0.5000, 0.5000)  6 Eu 2.61